1.
Density functional theory data (PBE) for crystalline La2NdMg at its relaxed geometry.

```
4
Lattice="-2.002 -1.468 4.372 1.547 -4.808 -0.906 4.445 0.985 2.366" Properties=species:S:1:pos:R:3 pbc="T T T"
Mg -1.001 -0.734 2.186
La 0.774 -2.404 -0.453
La 2.222 0.492 1.183
Nd 1.995 -2.645 2.916
```

Values from the calculation:
energy relative to the lowest polymorph listed for this composition: 0.0331 eV per atom
E_form: -0.01 eV/atom
space group: P4/mmm (123)



2.
Density functional theory data (PBE) for crystalline LaNd8Mg2 at its relaxed geometry.

```
11
Lattice="-3.063 -0.962 5.008 1.124 -7.787 4.363 6.515 -0.645 6.446" Properties=species:S:1:pos:R:3 pbc="T T T"
La -1.532 -0.481 2.504
Nd 2.764 -3.874 10.652
Nd 2.465 -2.500 7.146
Nd -0.990 -1.722 6.184
Nd 5.566 -7.672 9.634
Nd 2.111 -6.894 8.672
Nd 1.812 -5.520 5.166
Nd -1.509 -5.241 6.099
Nd -0.430 -3.509 3.273
Mg 4.791 -5.786 6.991
Mg 2.848 -2.646 3.819
```

Values from the calculation:
energy relative to the lowest polymorph listed for this composition: 0.1018 eV per atom
E_form: 0.11 eV/atom
space group: C2/m (12)



3.
Density functional theory data (PBE) for crystalline La4Nd6Mg at its relaxed geometry.

```
11
Lattice="7.567 -2.885 -5.502 -5.211 8.083 1.835 -1.860 2.885 9.169" Properties=species:S:1:pos:R:3 pbc="T T T"
Nd -1.421 5.058 4.233
Nd 1.178 2.599 -1.834
Nd -3.811 5.911 7.952
Nd 2.854 0.000 1.834
Nd 3.548 0.497 -1.268
Nd -4.890 7.586 5.588
La 4.856 -1.821 -3.509
La -5.196 8.060 10.312
La -6.384 9.904 7.709
La 0.150 2.909 1.993
Mg 0.000 0.000 0.000
```

Values from the calculation:
E_form: 0.23 eV/atom
space group: I-42m (121)